# 1
CsAsO3 | PBE | relaxed

Geometry as extended XYZ:
```
20
Lattice="6.287 0.000 0.000 0.000 14.669 0.000 0.000 0.000 5.300" Properties=species:S:1:pos:R:3 pbc="T T T"
Cs 1.094 1.738 1.325
Cs 1.094 5.597 3.975
Cs 5.193 9.072 1.325
Cs 5.193 12.931 3.975
As 1.963 9.991 3.975
As 1.963 12.012 1.325
As 4.324 2.657 3.975
As 4.324 4.677 1.325
O 1.052 8.591 3.975
O 1.052 13.412 1.325
O 1.249 11.002 0.000
O 1.249 11.002 2.650
O 2.655 2.644 3.975
O 2.655 4.691 1.325
O 3.632 9.978 3.975
O 3.632 12.025 1.325
O 5.038 3.667 0.000
O 5.038 3.667 2.650
O 5.235 1.256 3.975
O 5.235 6.078 1.325
```

Summary:
**Crystal system**: orthorhombic
**Formation energy (no corrections)**: -1513 meV/atom
**Density of states at the Fermi level**: 0.00 states/eV/f.u.
**Total magnetization**: 0.013 μB/atom

---

# 2
CsAsO3 | PBE | relaxed

Geometry as extended XYZ:
```
5
Lattice="4.019 0.000 0.000 0.000 4.019 0.000 0.000 0.000 4.019" Properties=species:S:1:pos:R:3 pbc="T T T"
Cs 0.000 0.000 0.000
As 2.010 2.010 2.010
O 0.000 2.010 2.010
O 2.010 0.000 2.010
O 2.010 2.010 0.000
```

Summary:
**Crystal system**: cubic
**Formation energy (no corrections)**: -707 meV/atom
**Density of states at the Fermi level**: 1.83 states/eV/f.u.
**Total magnetization**: 0.000 μB/atom

---

# 3
Cs4AsO5 | PBE | relaxed

Geometry as extended XYZ:
```
10
Lattice="-4.309 4.309 4.137 4.309 -4.309 4.137 4.309 4.309 -4.137" Properties=species:S:1:pos:R:3 pbc="T T T"
Cs 2.701 1.184 0.000
Cs 3.125 -1.608 4.137
Cs 1.184 5.918 0.000
Cs 1.608 3.125 4.137
As 0.000 0.000 5.995
O 4.904 2.636 1.411
O 2.636 3.715 1.411
O 1.673 0.595 5.548
O -0.595 1.673 5.548
O 0.000 0.000 7.765
```

Summary:
**Crystal system**: tetragonal
**Formation energy (no corrections)**: -1299 meV/atom
**Total magnetization**: 0.090 μB/atom

---

# 4
Cs5AsO | PBE | relaxed

Geometry as extended XYZ:
```
14
Lattice="7.828 -4.078 0.000 7.828 4.078 0.000 -4.185 0.000 10.966" Properties=species:S:1:pos:R:3 pbc="T T T"
Cs 4.689 3.552 8.225
Cs 4.034 2.082 4.491
Cs 1.921 1.866 10.547
Cs 9.530 2.082 0.992
Cs 7.457 1.866 5.902
Cs 4.014 -1.866 5.064
Cs 1.941 -2.082 9.974
Cs 9.550 -1.866 0.419
Cs 7.437 -2.082 6.475
Cs 6.782 -3.552 2.742
As 6.782 0.116 2.742
As 4.689 -0.116 8.225
O 0.000 0.000 0.000
O -2.093 0.000 5.483
```

Summary:
**Crystal system**: monoclinic
**Formation energy (no corrections)**: -538 meV/atom
**Density of states at the Fermi level**: 3.25 states/eV/f.u.
**Total magnetization**: 0.000 μB/atom

---

# 5
CsAs3O | PBE | relaxed

Geometry as extended XYZ:
```
5
Lattice="4.790 0.000 0.000 0.000 4.790 0.000 0.000 0.000 4.790" Properties=species:S:1:pos:R:3 pbc="T T T"
Cs 0.000 0.000 0.000
As 0.000 2.395 2.395
As 2.395 0.000 2.395
As 2.395 2.395 0.000
O 2.395 2.395 2.395
```

Summary:
**Crystal system**: cubic
**Formation energy (no corrections)**: 404 meV/atom
**Density of states at the Fermi level**: 4.32 states/eV/f.u.
**Total magnetization**: 0.000 μB/atom

---

# 6
CsAs2OsO8 | PBE | relaxed

Geometry as extended XYZ:
```
12
Lattice="2.532 1.462 9.556 -2.532 1.462 9.556 0.000 -2.923 9.556" Properties=species:S:1:pos:R:3 pbc="T T T"
Cs 0.000 0.000 0.000
As 0.000 0.000 6.547
As 0.000 0.000 22.120
Os 0.000 0.000 14.333
O -1.592 -0.112 13.179
O -0.699 -1.435 15.487
O 0.000 0.000 8.211
O 0.893 -1.323 13.179
O -0.893 1.323 15.487
O 0.000 0.000 20.456
O 0.699 1.435 13.179
O 1.592 0.112 15.487
```

Summary:
**Crystal system**: trigonal
**Formation energy (no corrections)**: -1197 meV/atom
**Density of states at the Fermi level**: 2.11 states/eV/f.u.
**Total magnetization**: 0.250 μB/atom

---

# 7
Cs2AsOsO6 | PBE | relaxed

Geometry as extended XYZ:
```
10
Lattice="-2.802 2.802 5.624 2.802 -2.802 5.624 2.802 2.802 -5.624" Properties=species:S:1:pos:R:3 pbc="T T T"
Cs 2.802 0.000 2.812
Cs 0.000 2.802 2.812
As 0.000 0.000 0.000
Os 0.000 0.000 5.624
O 1.427 1.427 0.000
O 1.375 -1.375 5.624
O 0.000 0.000 3.783
O 0.000 0.000 7.466
O -1.375 1.375 5.624
O 1.375 1.375 5.624
```

Summary:
**Crystal system**: tetragonal
**Formation energy (no corrections)**: -1094 meV/atom
**Density of states at the Fermi level**: 5.41 states/eV/f.u.
**Total magnetization**: 0.000 μB/atom

---

# 8
CsAsP2O | PBE | relaxed

Geometry as extended XYZ:
```
5
Lattice="5.458 0.000 0.000 0.000 5.458 0.000 0.000 0.000 4.189" Properties=species:S:1:pos:R:3 pbc="T T T"
Cs 0.000 0.000 0.000
As 2.729 2.729 2.095
P 0.000 2.729 0.000
P 2.729 0.000 0.000
O 0.000 0.000 2.095
```

Summary:
**Crystal system**: tetragonal
**Formation energy (no corrections)**: 1659 meV/atom
**Density of states at the Fermi level**: 2.99 states/eV/f.u.
**Total magnetization**: 0.015 μB/atom